# 1
Material: BaMg14Cu
Method: DFT, PBE
State: optimized geometry

The structure in CIF format:
```
data_BaMg14Cu
_space_group_name_H-M_alt 'P -6 m 2'
_space_group_IT_number 187
_space_group_name_Hall 'P -6 2'
_cell_length_a 6.5354
_cell_length_b 6.5354
_cell_length_c 10.4946
_cell_angle_alpha 90.00
_cell_angle_beta 90.00
_cell_angle_gamma 120.00
loop_
_atom_site_label
_atom_site_type_symbol
_atom_site_fract_x
_atom_site_fract_y
_atom_site_fract_z
Ba1 Ba 0.0000 0.0000 0.0000
Mg1 Mg 0.0164 0.5082 0.0000
Mg2 Mg 0.1648 0.3296 0.2748
Mg3 Mg 0.5061 0.0122 0.5000
Mg4 Mg 0.6667 0.3333 0.2369
Cu1 Cu 0.0000 0.0000 0.5000
```

Computed properties:
As for the magnetization: 0.000 μB/atom. Its formation energy is 0.09 eV/atom.

***

# 2
Material: LaSm2Y4Tm2
Method: DFT, PBE
State: optimized geometry

The structure in CIF format:
```
data_LaSm2Y4Tm2
_space_group_name_H-M_alt 'C 1 2/m 1'
_space_group_IT_number 12
_space_group_name_Hall '-C 2y'
_cell_length_a 15.228
_cell_length_b 5.072
_cell_length_c 8.024
_cell_angle_alpha 90.00
_cell_angle_beta 108.47
_cell_angle_gamma 90.00
loop_
_atom_site_label
_atom_site_type_symbol
_atom_site_fract_x
_atom_site_fract_y
_atom_site_fract_z
La1 La 0.000 0.000 0.000
Sm1 Sm 0.111 0.000 0.666
Y1 Y 0.056 0.500 0.334
Y2 Y 0.222 0.000 0.332
Tm1 Tm 0.169 0.500 0.000
```

Computed properties:
As for the magnetization: 0.000 μB/atom. Its formation energy is 0.03 eV/atom.

***

# 3
Material: NaSr2AlS4
Method: DFT, PBE
State: optimized geometry

The structure in CIF format:
```
data_NaSr2AlS4
_space_group_name_H-M_alt 'I m m a'
_space_group_IT_number 74
_space_group_name_Hall '-I 2b 2'
_cell_length_a 8.055
_cell_length_b 8.128
_cell_length_c 11.171
_cell_angle_alpha 90.00
_cell_angle_beta 90.00
_cell_angle_gamma 90.00
loop_
_atom_site_label
_atom_site_type_symbol
_atom_site_fract_x
_atom_site_fract_y
_atom_site_fract_z
Na1 Na 0.000 0.000 0.000
Sr1 Sr 0.000 0.000 0.500
Sr2 Sr 0.250 0.250 0.250
Al1 Al 0.250 0.250 0.750
S1 S 0.000 0.027 0.756
S2 S 0.244 0.250 0.964
```

Computed properties:
As for the magnetization: 0.000 μB/atom. Its formation energy from raw total energies is -1466 meV/atom.

***

# 4
Material: ScRh3
Method: DFT, PBE
State: optimized geometry

The structure in CIF format:
```
data_ScRh3
_space_group_name_H-M_alt 'P m m 2'
_space_group_IT_number 25
_space_group_name_Hall 'P 2 -2'
_cell_length_a 2.908
_cell_length_b 4.467
_cell_length_c 4.701
_cell_angle_alpha 90.00
_cell_angle_beta 90.00
_cell_angle_gamma 90.00
loop_
_atom_site_label
_atom_site_type_symbol
_atom_site_fract_x
_atom_site_fract_y
_atom_site_fract_z
Sc1 Sc 0.000 0.000 0.000
Rh1 Rh 0.000 0.500 0.620
Rh2 Rh 0.500 0.000 0.502
Rh3 Rh 0.500 0.500 0.128
```

Computed properties:
As for the magnetization: 0.000 μB/atom. Its formation energy is -0.49 eV/atom.

***

# 5
Material: ThCdAu3
Method: DFT, PBE
State: optimized geometry

The structure in CIF format:
```
data_ThCdAu3
_space_group_name_H-M_alt 'C 1 2/m 1'
_space_group_IT_number 12
_space_group_name_Hall '-C 2y'
_cell_length_a 18.385
_cell_length_b 5.222
_cell_length_c 5.120
_cell_angle_alpha 90.00
_cell_angle_beta 105.81
_cell_angle_gamma 90.00
loop_
_atom_site_label
_atom_site_type_symbol
_atom_site_fract_x
_atom_site_fract_y
_atom_site_fract_z
Th1 Th 0.114 0.000 0.367
Cd1 Cd 0.128 0.500 0.880
Au1 Au 0.032 0.500 0.281
Au2 Au 0.202 0.000 0.952
Au3 Au 0.209 0.500 0.461
```

Computed properties:
As for the magnetization: 0.000 μB/atom. Its formation energy is -0.37 eV/atom.

***

# 6
Material: CdHg6F12
Method: DFT, PBE
State: optimized geometry

The structure in CIF format:
```
data_CdHg6F12
_space_group_name_H-M_alt 'R -3'
_space_group_IT_number 148
_space_group_name_Hall '-R 3'
_cell_length_a 10.6292
_cell_length_b 10.6292
_cell_length_c 9.8433
_cell_angle_alpha 90.00
_cell_angle_beta 90.00
_cell_angle_gamma 120.00
loop_
_atom_site_label
_atom_site_type_symbol
_atom_site_fract_x
_atom_site_fract_y
_atom_site_fract_z
Cd1 Cd 0.0000 0.0000 0.0000
Hg1 Hg 0.0465 0.7876 0.6504
F1 F 0.0316 0.8116 0.3958
F2 F 0.0381 0.8341 0.8887
```

Computed properties:
As for the magnetization: 0.000 μB/atom. Its formation energy from raw total energies is -1455 meV/atom.

***

# 7
Material: Na4NdDy3Se8
Method: DFT, PBE
State: optimized geometry

The structure in CIF format:
```
data_Na4NdDy3Se8
_space_group_name_H-M_alt 'R -3 m'
_space_group_IT_number 166
_space_group_name_Hall '-R 3 2"'
_cell_length_a 8.3624
_cell_length_b 8.3624
_cell_length_c 21.0370
_cell_angle_alpha 90.00
_cell_angle_beta 90.00
_cell_angle_gamma 120.00
loop_
_atom_site_label
_atom_site_type_symbol
_atom_site_fract_x
_atom_site_fract_y
_atom_site_fract_z
Na1 Na 0.0000 0.0000 0.0000
Na2 Na 0.0000 0.5000 0.0000
Nd1 Nd 0.0000 0.0000 0.5000
Dy1 Dy 0.0000 0.5000 0.5000
Se1 Se 0.0000 0.0000 0.2428
Se2 Se 0.0071 0.5036 0.7561
```

Computed properties:
As for the magnetization: 0.000 μB/atom. Its formation energy from raw total energies is -1699 meV/atom.

***

# 8
Material: Ca2CePaAs4
Method: DFT, PBE
State: optimized geometry

The structure in CIF format:
```
data_Ca2CePaAs4
_space_group_name_H-M_alt 'P 1 2/m 1'
_space_group_IT_number 10
_space_group_name_Hall '-P 2y'
_cell_length_a 7.245
_cell_length_b 4.232
_cell_length_c 7.329
_cell_angle_alpha 90.00
_cell_angle_beta 109.62
_cell_angle_gamma 90.00
loop_
_atom_site_label
_atom_site_type_symbol
_atom_site_fract_x
_atom_site_fract_y
_atom_site_fract_z
Ca1 Ca 0.000 0.000 0.000
Ca2 Ca 0.000 0.500 0.500
Ce1 Ce 0.500 0.000 0.500
Pa1 Pa 0.500 0.500 0.000
As1 As 0.265 0.500 0.245
As2 As 0.267 0.000 0.764
```

Computed properties:
As for the magnetization: 0.119 μB/atom. Its formation energy is -1.25 eV/atom.

***

# 9
Material: RbPd
Method: DFT, PBE
State: optimized geometry

The structure in CIF format:
```
data_RbPd
_space_group_name_H-M_alt 'P 21 21 21'
_space_group_IT_number 19
_space_group_name_Hall 'P 2ac 2ab'
_cell_length_a 7.048
_cell_length_b 8.152
_cell_length_c 10.115
_cell_angle_alpha 90.00
_cell_angle_beta 90.00
_cell_angle_gamma 90.00
loop_
_atom_site_label
_atom_site_type_symbol
_atom_site_fract_x
_atom_site_fract_y
_atom_site_fract_z
Rb1 Rb 0.128 0.122 0.479
Rb2 Rb 0.164 0.659 0.619
Pd1 Pd 0.011 0.980 0.191
Pd2 Pd 0.205 0.734 0.281
```

Computed properties:
As for the magnetization: 0.000 μB/atom. Its formation energy is 0.16 eV/atom.

***

# 10
Material: Os2RhI
Method: DFT, PBE
State: optimized geometry

The structure in CIF format:
```
data_Os2RhI
_space_group_name_H-M_alt 'I -4 2 d'
_space_group_IT_number 122
_space_group_name_Hall 'I -4 2bw'
_cell_length_a 5.973
_cell_length_b 5.973
_cell_length_c 10.546
_cell_angle_alpha 90.00
_cell_angle_beta 90.00
_cell_angle_gamma 90.00
loop_
_atom_site_label
_atom_site_type_symbol
_atom_site_fract_x
_atom_site_fract_y
_atom_site_fract_z
Os1 Os 0.227 0.250 0.125
Rh1 Rh 0.000 0.000 0.000
I1 I 0.000 0.000 0.500
```

Computed properties:
As for the magnetization: 0.000 μB/atom. Its formation energy from raw total energies is 1602 meV/atom.

***

# 11
Material: RbTlS2
Method: DFT, PBE
State: optimized geometry

The structure in CIF format:
```
data_RbTlS2
_space_group_name_H-M_alt 'P 4/m m m'
_space_group_IT_number 123
_space_group_name_Hall '-P 4 2'
_cell_length_a 4.340
_cell_length_b 4.340
_cell_length_c 6.212
_cell_angle_alpha 90.00
_cell_angle_beta 90.00
_cell_angle_gamma 90.00
loop_
_atom_site_label
_atom_site_type_symbol
_atom_site_fract_x
_atom_site_fract_y
_atom_site_fract_z
Rb1 Rb 0.000 0.000 0.000
Tl1 Tl 0.500 0.500 0.500
S1 S 0.000 0.000 0.500
S2 S 0.500 0.500 0.000
```

Computed properties:
As for the magnetization: 0.128 μB/atom. Its formation energy from raw total energies is -180 meV/atom.

***

magnetization of number 11 (RbTlS2)? 0.128 μB/atom